Entry 1:
Computed, not measured: an optimized crystal structure of Rb2Tl2Co at the PBE level of DFT.

Lattice parameters (Å, degrees): 8.666 8.666 5.599 90.00 90.00 90.00
Sites, in units of the cell vectors:
1 Co 0.500 0.500 0.000
2 Co 0.000 0.000 0.000
3 Tl 0.658 0.842 0.500
4 Tl 0.842 0.342 0.500
5 Tl 0.158 0.658 0.500
6 Tl 0.342 0.158 0.500
7 Rb 0.349 0.849 0.000
8 Rb 0.651 0.151 0.000
9 Rb 0.151 0.349 0.000
10 Rb 0.849 0.651 0.000

Summary:
M_tot, μB per formula unit: 1.88
DFT formation energy, meV per atom: 833
DOS(E_F), states/eV per cell: 11.34
Space group: No. 127

---

Entry 2:
Computed, not measured: an optimized crystal structure of MgBePCl2 at the PBE level of DFT.

Lattice parameters (Å, degrees): 4.569 4.569 5.901 90.00 90.00 90.00
Sites, in units of the cell vectors:
1 Mg 0.000 0.000 0.000
2 P 0.000 0.000 0.500
3 Cl 0.500 0.000 0.000
4 Cl 0.000 0.500 0.000
5 Be 0.500 0.500 0.500

Summary:
Energy relative to the elements, uncorrected, eV/atom: 0.192
M_tot, μB per formula unit: 1.13
DOS(E_F), states/eV per cell: 2.69
Space group: No. 123

---

Entry 3:
Computed, not measured: an optimized crystal structure of RbReS3 at the PBE level of DFT.

Lattice parameters (Å, degrees): 6.262 9.016 8.715 99.28 90.00 90.00
Sites, in units of the cell vectors:
1 S 0.837 0.316 0.434
2 S 0.075 0.956 0.336
3 S 0.925 0.044 0.664
4 S 0.663 0.316 0.934
5 S 0.337 0.684 0.066
6 S 0.080 0.152 0.042
7 S 0.420 0.152 0.542
8 S 0.425 0.956 0.836
9 S 0.163 0.684 0.566
10 S 0.920 0.848 0.958
11 S 0.575 0.044 0.164
12 S 0.580 0.848 0.458
13 Re 0.244 0.929 0.090
14 Re 0.256 0.929 0.590
15 Re 0.756 0.071 0.910
16 Re 0.744 0.071 0.410
17 Rb 0.853 0.618 0.212
18 Rb 0.647 0.618 0.712
19 Rb 0.353 0.382 0.288
20 Rb 0.147 0.382 0.788

Summary:
Energy relative to the elements, uncorrected, eV/atom: -0.489
M_tot, μB per formula unit: 0.00
DOS(E_F), states/eV per cell: 9.33
Space group: No. 14

---

Entry 4:
Computed, not measured: an optimized crystal structure of Na3TaCd at the PBE level of DFT.

Lattice parameters (Å, degrees): 6.015 6.015 6.015 90.00 90.00 90.00
Sites, in units of the cell vectors:
1 Na 0.000 0.000 0.500
2 Na 0.000 0.500 0.000
3 Na 0.500 0.000 0.000
4 Cd 0.500 0.500 0.500
5 Ta 0.000 0.000 0.000

Summary:
M_tot, μB per formula unit: 5.42
DFT formation energy, meV per atom: 1416
DOS(E_F), states/eV per cell: 5.11
Space group: No. 221

---

Entry 5:
Computed, not measured: an optimized crystal structure of Ce2SmPb2 at the PBE level of DFT.

Lattice parameters (Å, degrees): 4.380 4.380 8.315 104.52 104.52 90.68
Sites, in units of the cell vectors:
1 Pb 0.581 0.581 0.192
2 Pb 0.419 0.419 0.808
3 Ce 0.225 0.775 0.500
4 Ce 0.775 0.225 0.500
5 Sm 0.000 0.000 0.000

Summary:
M_tot, μB per formula unit: 0.81
DFT formation energy, meV per atom: -290
DOS(E_F), states/eV per cell: 9.39
Space group: No. 12

---

Entry 6:
Computed, not measured: an optimized crystal structure of Ta2TiOs3 at the PBE level of DFT.

Lattice parameters (Å, degrees): 4.353 6.880 6.654 90.00 90.00 71.55
Sites, in units of the cell vectors:
1 Os 0.168 0.665 0.763
2 Os 0.833 0.335 0.763
3 Os 0.500 0.000 0.238
4 Os 0.500 0.000 0.762
5 Os 0.167 0.665 0.237
6 Os 0.832 0.335 0.237
7 Ta 0.667 0.667 0.500
8 Ta 0.000 0.000 0.000
9 Ta 0.333 0.333 0.500
10 Ta 0.000 0.000 0.500
11 Ti 0.668 0.663 0.000
12 Ti 0.332 0.337 0.000

Summary:
M_tot, μB per formula unit: 0.00
DFT formation energy, meV per atom: -411
DOS(E_F), states/eV per cell: 7.21
Space group: No. 65

---

Entry 7:
Computed, not measured: an optimized crystal structure of La2PuSb3Ir4 at the PBE level of DFT.

Lattice parameters (Å, degrees): 4.408 4.408 11.599 90.00 90.00 90.00
Sites, in units of the cell vectors:
1 Ir 0.500 0.000 0.645
2 Ir 0.000 0.000 0.000
3 Ir 0.000 0.500 0.355
4 Ir 0.500 0.500 0.000
5 Sb 0.000 0.000 0.500
6 Sb 0.000 0.500 0.130
7 Sb 0.500 0.000 0.870
8 La 0.000 0.500 0.765
9 La 0.500 0.000 0.235
10 Pu 0.500 0.500 0.500

Summary:
Energy relative to the elements, uncorrected, eV/atom: -0.651
M_tot, μB per formula unit: 5.15
DOS(E_F), states/eV per cell: 9.79
Space group: No. 115

---

Entry 8:
Computed, not measured: an optimized crystal structure of Ba2ScN2 at the PBE level of DFT.

Lattice parameters (Å, degrees): 7.084 7.084 4.159 90.00 90.00 90.00
Sites, in units of the cell vectors:
1 N 0.810 0.690 0.000
2 N 0.190 0.310 0.000
3 N 0.690 0.190 0.000
4 N 0.310 0.810 0.000
5 Sc 0.000 0.000 0.000
6 Sc 0.500 0.500 0.000
7 Ba 0.151 0.651 0.500
8 Ba 0.651 0.849 0.500
9 Ba 0.849 0.349 0.500
10 Ba 0.349 0.151 0.500

Summary:
Energy relative to the elements, uncorrected, eV/atom: -0.125
M_tot, μB per formula unit: 0.00
DOS(E_F), states/eV per cell: 4.54
Space group: No. 127

---

Entry 9:
Computed, not measured: an optimized crystal structure of NdAl3Ni2 at the PBE level of DFT.

Lattice parameters (Å, degrees): 5.128 6.375 6.375 104.33 90.00 90.00
Sites, in units of the cell vectors:
1 Nd 0.250 0.344 0.344
2 Nd 0.750 0.656 0.656
3 Ni 0.500 0.799 0.201
4 Ni 0.000 0.799 0.201
5 Ni 0.000 0.201 0.799
6 Ni 0.500 0.201 0.799
7 Al 0.750 0.084 0.474
8 Al 0.750 0.058 0.058
9 Al 0.250 0.916 0.526
10 Al 0.250 0.942 0.942
11 Al 0.250 0.526 0.916
12 Al 0.750 0.474 0.084

Summary:
M_tot, μB per formula unit: 0.00
DFT formation energy, meV per atom: -624
DOS(E_F), states/eV per cell: 5.15
Space group: No. 63

---

Entry 10:
Computed, not measured: an optimized crystal structure of GaSbH2 at the PBE level of DFT.

Lattice parameters (Å, degrees): 3.226 5.178 9.770 89.96 90.54 89.80
Sites, in units of the cell vectors:
1 H 0.869 0.462 0.432
2 H 0.310 0.961 0.626
3 H 0.329 0.965 0.549
4 H 0.841 0.465 0.508
5 Ga 0.340 0.468 0.094
6 Ga 0.834 0.968 0.962
7 Sb 0.832 0.468 0.845
8 Sb 0.342 0.968 0.211

Summary:
M_tot, μB per formula unit: 0.00
DOS(E_F), states/eV per cell: 0.73
Space group: No. 1
Calculated total energy, eV/cell: -27.510

---

Entry 11:
Computed, not measured: an optimized crystal structure of Ag8AuF6 at the PBE level of DFT.

Lattice parameters (Å, degrees): 6.267 6.741 6.741 120.00 90.00 90.00
Sites, in units of the cell vectors:
1 F 0.144 0.615 0.699
2 F 0.856 0.385 0.301
3 F 0.856 0.699 0.084
4 F 0.144 0.301 0.916
5 F 0.144 0.084 0.385
6 F 0.856 0.916 0.615
7 Ag 0.410 0.333 0.667
8 Ag 0.755 0.289 0.910
9 Ag 0.755 0.621 0.711
10 Ag 0.245 0.711 0.090
11 Ag 0.590 0.667 0.333
12 Ag 0.245 0.910 0.621
13 Ag 0.245 0.379 0.289
14 Ag 0.755 0.090 0.379
15 Au 0.500 0.000 0.000

Summary:
Energy relative to the elements, uncorrected, eV/atom: -0.707
M_tot, μB per formula unit: 0.00
DOS(E_F), states/eV per cell: 2.58
Space group: No. 147

---

Entry 12:
Computed, not measured: an optimized crystal structure of Cr2CuMo at the PBE level of DFT.

Lattice parameters (Å, degrees): 2.552 2.552 8.331 90.00 90.00 106.50
Sites, in units of the cell vectors:
1 Cr 0.000 0.000 0.493
2 Cr 0.000 0.000 0.007
3 Mo 0.500 0.500 0.750
4 Cu 0.500 0.500 0.250

Summary:
M_tot, μB per formula unit: 0.00
DFT formation energy, meV per atom: 247
DOS(E_F), states/eV per cell: 3.30
Space group: No. 65